Computed, not measured: a geometry-optimized CrCu2NO structure at the PBE+U level of DFT.

The size of the total moment comes out at 3.0 μB/cell. For the total energy, the calculation gives -5.709 eV/atom. The value obtained for the volume is 58.8 Å³ per cell.

Unit cell a=3.687 b=3.687 c=4.325 alpha=90.00 beta=90.00 gamma=90.00
Space group P4/mmm (No. 123)
Unique sites:
Cr1 0.000 0.000 0.000 [1 per cell]
Cu1 0.000 0.500 0.500 [2 per cell]
N1 0.000 0.000 0.500 [1 per cell]
O1 0.500 0.500 0.000 [1 per cell]